First-principles (PBE) data for crystalline Pm2Tl2Cd3 at its relaxed geometry, as listed in the Alexandria database.

a b c (Å): 3.5007 4.7423 11.6696
angles (deg): 101.72 90.00 90.00
Last column: nearest neighbours and their distance in Å.
Atoms (fractional coordinates):
Pm (0.0000, 0.8516, 0.7033)  4 Tl 3.26, 5 Cd 3.39-3.50, 2 Pm 3.50
Pm (0.0000, 0.1484, 0.2967)  4 Tl 3.26, 5 Cd 3.39-3.50, 2 Pm 3.50
Tl (0.5000, 0.2904, 0.5809)  2 Tl 3.01, 4 Pm 3.26, 1 Cd 3.28
Tl (0.5000, 0.7096, 0.4191)  2 Tl 3.01, 4 Pm 3.26, 1 Cd 3.28
Cd (0.5000, 0.4339, 0.8678)  5 Cd 3.02-3.31, 1 Tl 3.28
Cd (0.0000, 0.0000, 0.0000)  10 Cd 3.31-3.50, 2 Pm 3.39
Cd (0.5000, 0.5661, 0.1322)  5 Cd 3.02-3.31, 1 Tl 3.28

**SG**: Cmmm
**E above lowest polymorph**: 87 meV per atom
**ΔH_f (0 K)**: -1.20 eV per formula unit